[1]
The following is a PBE calculation of NdMgGeAu after structural relaxation, from the Alexandria database.

It has space group F-43m (No. 216), with a = 7.0985 Å, b = 7.0985 Å, c = 7.0985 Å, α = 90.00°, β = 90.00° and γ = 90.00°. Symmetry generates all atoms from Nd at (0.0000, 0.0000, 0.0000), Mg at (0.0000, 0.0000, 0.5000), Ge at (0.2500, 0.2500, 0.2500) and Au at (0.2500, 0.2500, 0.7500).

The formation energy is -0.615 eV per atom.


[2]
The following is a PBE calculation of NbGa3Se after structural relaxation, from the Alexandria database.

It has space group Pm-3m (No. 221), with a = 4.9221 Å, b = 4.9221 Å, c = 4.9221 Å, α = 90.00°, β = 90.00° and γ = 90.00°. Symmetry generates all atoms from Nb at (0.0000, 0.0000, 0.0000), Ga at (0.0000, 0.5000, 0.5000) and Se at (0.5000, 0.5000, 0.5000).

The uncorrected formation energy is 0.987 eV/atom. The value obtained for the energy above the most stable polymorph in this dataset is 304.6 meV per atom.


[3]
The following is a PBE calculation of Pd2PtPb3 after structural relaxation, from the Alexandria database.

It has space group C2/c (No. 15), with a = 14.5756 Å, b = 5.6152 Å, c = 6.5107 Å, α = 90.00°, β = 102.34° and γ = 90.00°. Symmetry generates all atoms from Pd at (0.1610, 0.0993, 0.4942), Pt at (0.0000, 0.3495, 0.2500), Pb at (0.0000, 0.1539, 0.7500) and Pb at (0.1764, 0.3983, 0.1347).

The formation energy is -0.138 eV per atom.


[4]
The following is a PBE calculation of TlCuSe2 after structural relaxation, from the Alexandria database.

It has space group I-42d (No. 122), with a = 5.9625 Å, b = 5.9625 Å, c = 12.0122 Å, α = 90.00°, β = 90.00° and γ = 90.00°. Symmetry generates all atoms from Tl at (0.0000, 0.0000, 0.0000), Cu at (0.0000, 0.0000, 0.5000) and Se at (0.2021, 0.2500, 0.6250).

The uncorrected formation energy is -0.240 eV/atom.


Uncorrected energy for the records above, in order: -66.9 -17.7 -113.5 -57.6 eV per cell